1.
## RbBe3Se (PBE-GGA)

Data for an optimized crystal structure of RbBe3Se.

Structure (CIF):
```
data_RbBe3Se
_chemical_formula_sum 'Rb1 Be3 Se1'
_space_group_name_H-M_alt 'P 1'
_space_group_IT_number 1
_cell_length_a 6.1593
_cell_length_b 6.1593
_cell_length_c 6.1593
_cell_angle_alpha 90.00
_cell_angle_beta 90.00
_cell_angle_gamma 90.00
loop_
_space_group_symop_operation_xyz
'x,y,z'
loop_
_atom_site_label
_atom_site_type_symbol
_atom_site_fract_x
_atom_site_fract_y
_atom_site_fract_z
_atom_site_occupancy
Be1 Be 0.0000 0.5000 0.0000 1
Be2 Be 0.0000 0.0000 0.5000 1
Be3 Be 0.5000 0.0000 0.0000 1
Se1 Se 0.5000 0.5000 0.5000 1
Rb1 Rb 0.0000 0.0000 0.0000 1
```

Computed properties:
E above lowest polymorph, eV/atom: 1.196
SG: Pm-3m (221)
E_form (uncorrected), meV/atom: 2335
ρ, Mg/m³: 1.36

***

2.
## KHg3Pd (PBE-GGA)

Data for an optimized crystal structure of KHg3Pd.

Structure (CIF):
```
data_KHg3Pd
_chemical_formula_sum 'K2 Hg6 Pd2'
_space_group_name_H-M_alt 'P 1'
_space_group_IT_number 1
_cell_length_a 7.4575
_cell_length_b 6.8336
_cell_length_c 6.4787
_cell_angle_alpha 90.04
_cell_angle_beta 100.73
_cell_angle_gamma 117.28
loop_
_space_group_symop_operation_xyz
'x,y,z'
loop_
_atom_site_label
_atom_site_type_symbol
_atom_site_fract_x
_atom_site_fract_y
_atom_site_fract_z
_atom_site_occupancy
K1 K 0.2860 0.0439 0.6628 1
K2 K 0.8127 0.3065 0.2756 1
Hg1 Hg 0.3273 0.5646 0.5834 1
Hg2 Hg 0.8139 0.5304 0.7936 1
Hg3 Hg 0.3037 0.7843 0.1418 1
Hg4 Hg 0.7643 0.7821 0.4119 1
Hg5 Hg 0.3040 0.3217 0.1418 1
Hg6 Hg 0.8143 0.0851 0.7933 1
Pd1 Pd 0.9983 0.9001 0.1035 1
Pd2 Pd 0.5777 0.6902 0.9813 1
```

Computed properties:
E above lowest polymorph, eV/atom: 0.043
SG: P1 (1)
ΔH_f (0 K), eV per atom: -0.1985
ρ, Mg/m³: 8.65

***

Number 1: E -0.791 eV/atom. Number 2: E -1.638 eV/atom.